## ZnRh3 (GGA-PBE)

Data for a relaxed structure of ZnRh3.

```
ZnRh3
1.0
-1.904 1.904 7.777
1.904 -1.904 7.777
1.904 1.904 -7.777
Zn Rh
2 6
Cartesian
0.000 0.000 1.912
0.000 0.000 13.642
1.904 0.000 0.000
1.904 0.000 3.889
0.000 0.000 5.814
0.000 1.904 0.000
0.000 0.000 9.740
0.000 1.904 3.889
```

Energy of formation from the pure elements   -0.131 eV per atom
Size of the total moment   0.00 μB per formula unit
Total DFT energy (no corrections)   -47.7 eV/cell

=====

## Zn5Rh4 (GGA-PBE)

Data for a relaxed structure of Zn5Rh4.

```
Zn5Rh4
1.0
-4.006 4.006 1.958
4.006 -4.006 1.958
4.006 4.006 -1.958
Zn Rh
5 4
Cartesian
0.000 0.000 0.000
2.644 2.644 0.000
1.362 -1.362 1.958
-1.362 1.362 1.958
1.362 1.362 1.958
2.602 0.000 0.000
5.410 0.000 0.000
0.000 2.602 0.000
0.000 5.410 0.000
```

Relative energy among the computed polymorphs   0.009 eV/atom
Energy of formation from the pure elements   -0.303 eV per atom
Size of the total moment   0.00 μB per formula unit
Total DFT energy (no corrections)   -38.5 eV/cell

=====

## Zn3Rh (GGA-PBE)

Data for a relaxed structure of Zn3Rh.

```
Zn3Rh
1.0
2.682 -3.597 0.000
2.682 3.597 0.000
0.000 0.000 2.947
Zn Rh
3 1
Cartesian
0.000 0.000 0.000
1.341 1.799 1.474
1.341 -1.799 1.474
2.682 0.000 0.000
```

Energy of formation from the pure elements   -0.268 eV per atom
Size of the total moment   0.00 μB per formula unit
Total DFT energy (no corrections)   -12.2 eV/cell

=====

## Zn2Rh (GGA-PBE)

Data for a relaxed structure of Zn2Rh.

```
Zn2Rh
1.0
-1.889 1.889 11.852
1.889 -1.889 11.852
1.889 1.889 -11.852
Zn Rh
8 4
Cartesian
1.889 0.944 -2.984
1.889 0.944 0.867
0.000 0.944 2.942
1.889 0.944 5.059
0.000 0.944 6.793
1.889 0.944 8.910
0.000 0.944 10.985
0.000 0.944 14.836
1.889 -0.944 7.094
1.889 -0.944 10.684
0.000 2.833 1.168
0.000 2.833 4.758
```

Energy of formation from the pure elements   -0.361 eV per atom
Size of the total moment   0.00 μB per formula unit
Total DFT energy (no corrections)   -43.9 eV/cell

=====

## Zn5Rh (GGA-PBE)

Data for a relaxed structure of Zn5Rh.

```
Zn5Rh
1.0
0.000 3.498 3.498
3.498 0.000 3.498
3.498 3.498 0.000
Zn Rh
5 1
Cartesian
0.000 0.000 0.000
2.626 2.626 2.626
4.371 4.371 2.626
4.371 2.626 4.371
2.626 4.371 4.371
5.247 5.247 5.247
```

Energy of formation from the pure elements   -0.085 eV per atom
Size of the total moment   0.00 μB per formula unit
Total DFT energy (no corrections)   -14.2 eV/cell

=====

## ZnRh2 (GGA-PBE)

Data for a relaxed structure of ZnRh2.

```
ZnRh2
1.0
-1.386 1.899 4.026
1.386 -1.899 4.026
1.386 1.899 -4.026
Zn Rh
1 2
Cartesian
0.000 0.000 0.000
0.000 0.000 2.688
0.000 0.000 5.364
```

Energy of formation from the pure elements   -0.156 eV per atom
Size of the total moment   0.38 μB per formula unit
Total DFT energy (no corrections)   -16.4 eV/cell

=====

## ZnRh2 (GGA-PBE)

Data for a relaxed structure of ZnRh2.

```
ZnRh2
1.0
4.026 -2.352 0.000
4.026 2.352 0.000
0.000 0.000 4.478
Zn Rh
2 4
Cartesian
4.026 1.523 3.359
4.026 -1.523 1.120
2.681 0.822 1.120
5.370 0.822 1.120
2.681 -0.822 3.359
5.370 -0.822 3.359
```

Energy of formation from the pure elements   -0.150 eV per atom
Size of the total moment   0.00 μB per formula unit
Total DFT energy (no corrections)   -32.9 eV/cell

=====

## ZnRh (GGA-PBE)

Data for a relaxed structure of ZnRh.

```
ZnRh
1.0
0.000 3.056 3.056
3.056 0.000 3.056
3.056 3.056 0.000
Zn Rh
2 2
Cartesian
0.764 0.764 0.764
5.348 5.348 5.348
2.292 2.292 2.292
3.820 3.820 3.820
```

Energy of formation from the pure elements   -0.140 eV per atom
Size of the total moment   0.58 μB per formula unit
Total DFT energy (no corrections)   -17.8 eV/cell